[1]
Computed, not measured: a relaxed LiHfSn2 crystal at the PBE level of DFT.

```
LiHfSn2
1.0
0.0000 3.5350 3.5350
3.5350 0.0000 3.5350
3.5350 3.5350 0.0000
Li Hf Sn
1 1 2
Cartesian
0.0000 0.0000 0.0000
3.5350 3.5350 3.5350
1.7675 1.7675 1.7675
5.3025 5.3025 5.3025
```

Results
E above lowest polymorph: 0.1725 eV per atom
space-group type: Fm-3m (225)
energy of formation from the pure elements: -0.088 eV per atom

***

[2]
Computed, not measured: a relaxed La2MgCoAu crystal at the PBE level of DFT.

```
La2MgCoAu
1.0
5.1273 0.0000 0.0000
0.0000 5.1273 0.0000
0.0000 0.0000 5.1083
La Mg Co Au
2 1 1 1
Cartesian
0.0000 2.5637 0.0000
2.5637 0.0000 0.0000
0.0000 0.0000 2.5542
2.5637 2.5637 0.0000
2.5637 2.5637 2.5542
```

Results
E above lowest polymorph: 0.1022 eV per atom
space-group type: P4/mmm (123)
energy of formation from the pure elements: -0.193 eV per atom

***

[3]
Computed, not measured: a relaxed LiCaTe2 crystal at the PBE level of DFT.

```
LiCaTe2
1.0
3.4421 -3.9722 0.0000
3.4421 3.9722 0.0000
0.0000 0.0000 4.0163
Li Ca Te
1 1 2
Cartesian
0.0000 0.0000 0.0000
3.4421 0.0000 0.0000
1.7210 1.9861 2.0082
1.7210 -1.9861 2.0082
```

Results
space-group type: Cmmm (65)
formation energy without anion corrections: -0.967 eV per atom

***

[4]
Computed, not measured: a relaxed Ta2TeSe crystal at the PBE level of DFT.

```
Ta2TeSe
1.0
4.1737 -1.6810 0.0000
4.1737 1.6810 0.0000
-1.3322 0.0000 5.8440
Ta Te Se
2 1 1
Cartesian
1.8015 0.0000 1.1114
5.2136 0.0000 4.7326
-0.6661 0.0000 2.9220
4.1737 0.0000 0.0000
```

Results
E above lowest polymorph: 0.4551 eV per atom
space-group type: C2/m (12)
formation energy without anion corrections: 0.082 eV per atom

***

[5]
Computed, not measured: a relaxed CaAcTb2 crystal at the PBE level of DFT.

```
CaAcTb2
1.0
1.8716 1.0805 12.1577
-1.8716 1.0805 12.1577
0.0000 -2.1611 12.1577
Ca Ac Tb
1 1 2
Cartesian
0.0000 0.0000 0.0000
0.0000 0.0000 6.0491
0.0000 0.0000 21.2125
0.0000 0.0000 27.3824
```

Results
E above lowest polymorph: 0.0000 eV per atom
space-group type: R3m (160)
energy of formation from the pure elements: 0.090 eV per atom

***

[6]
Computed, not measured: a relaxed ErMgTiGa crystal at the PBE level of DFT.

```
ErMgTiGa
1.0
0.0000 3.4276 3.4276
3.4276 0.0000 3.4276
3.4276 3.4276 0.0000
Er Mg Ti Ga
1 1 1 1
Cartesian
0.0000 0.0000 0.0000
1.7138 1.7138 1.7138
3.4276 3.4276 3.4276
5.1414 5.1414 5.1414
```

Results
space-group type: F-43m (216)
energy of formation from the pure elements: -0.139 eV per atom

***

Number 1: total magnetic moment 0.0 Bohr magnetons per cell. Number 2: total magnetic moment 0.0 Bohr magnetons per cell. Number 3: total magnetic moment 0.0 Bohr magnetons per cell. Number 4: total magnetic moment 0.0 Bohr magnetons per cell. Number 5: total magnetic moment 0.0 Bohr magnetons per cell. Number 6: total magnetic moment 0.0 Bohr magnetons per cell.